# AlZnRe2 (PBE, optimized geometry)
data_AlZnRe2
_cell_length_a 6.142
_cell_length_b 6.142
_cell_length_c 6.142
_cell_angle_alpha 90.00
_cell_angle_beta 90.00
_cell_angle_gamma 90.00
_space_group_name_H-M_alt 'F -4 3 m'
_space_group_IT_number 216
_space_group_name_Hall 'F -4 2 3'
loop_
_atom_site_label
_atom_site_type_symbol
_atom_site_fract_x
_atom_site_fract_y
_atom_site_fract_z
Al1 Al 0.000 0.000 0.000
Zn1 Zn 0.250 0.250 0.750
Re1 Re 0.000 0.000 0.500
Re2 Re 0.250 0.250 0.250
# crystal system = cubic
# ΔE to the lowest computed polymorph = 125 meV per atom
# volume = 14.48 Å³ per atom
# ΔH_f (0 K) = 0.026 eV per atom